Here is AgHW3 after structural relaxation from the Alexandria database. Energies are from GGA-PBE.

Structure (extended XYZ):
```
5
Lattice="4.059 0.000 0.000 0.000 4.059 0.000 0.000 0.000 4.059" Properties=species:S:1:pos:R:3 pbc="T T T"
Ag 0.000 0.000 0.000
H 2.029 2.029 2.029
W 0.000 2.029 2.029
W 2.029 0.000 2.029
W 2.029 2.029 0.000
```

* ρ: 16404 kg/m³
* spin magnetization: 0.000 μB/cell
* energy relative to the lowest polymorph listed for this composition: 0 meV per atom
* SG: Pm-3m (221)